[1]
Compound: PrZn8Ag4
Source: the Alexandria database
Functional: GGA-PBE
Structure: optimized geometry Values from VASP.

Calculated values
- Space-group type: I4/mmm, No. 139
- Crystal system: tetragonal

Geometry as Quantum ESPRESSO input:
```
&SYSTEM
  ibrav = 0, nat = 13, ntyp = 3
/
ATOMIC_SPECIES
Ag 107.87 Ag.upf
Pr 140.91 Pr.upf
Zn 65.41 Zn.upf
CELL_PARAMETERS angstrom
5.4096 0.0000 0.0000
2.7048 6.5215 0.0000
2.7048 0.0000 6.5215
ATOMIC_POSITIONS crystal
Ag 0.5000 0.5000 0.0000
Ag 0.5000 0.0000 0.5000
Pr 0.0000 0.0000 0.0000
Ag 0.0000 0.5000 0.0000
Zn 0.3556 0.6444 0.6444
Zn 0.0000 0.6444 0.3556
Zn 0.2869 0.2131 0.2131
Zn 0.5000 0.7869 0.2131
Zn 0.5000 0.2131 0.7869
Zn 0.7131 0.7869 0.7869
Zn 0.0000 0.3556 0.6444
Ag 0.0000 0.0000 0.5000
Zn 0.6444 0.3556 0.3556
```



[2]
Compound: Pr2Zn2Ag
Source: the Alexandria database
Functional: GGA-PBE
Structure: optimized geometry Values from VASP.

Calculated values
- Space-group type: C2/m, No. 12
- Crystal system: monoclinic

Geometry as Quantum ESPRESSO input:
```
&SYSTEM
  ibrav = 0, nat = 10, ntyp = 3
/
ATOMIC_SPECIES
Zn 65.41 Zn.upf
Ag 107.87 Ag.upf
Pr 140.91 Pr.upf
CELL_PARAMETERS angstrom
-3.0347 -0.7153 3.5368
2.4624 -0.3437 5.1860
-2.1869 9.4280 3.1730
ATOMIC_POSITIONS crystal
Zn 0.8623 0.7095 0.5658
Ag 0.2269 0.8942 0.6521
Zn 0.0105 0.8674 0.1116
Zn 0.1377 0.2905 0.4342
Pr 0.3031 0.2857 0.1080
Pr 0.4823 0.7025 0.3330
Pr 0.6969 0.7143 0.8920
Zn 0.9895 0.1326 0.8884
Pr 0.5177 0.2975 0.6670
Ag 0.7731 0.1058 0.3479
```



[3]
Compound: PrZn2Ag5
Source: the Alexandria database
Functional: GGA-PBE
Structure: optimized geometry Values from VASP.

Calculated values
- Space-group type: Immm, No. 71
- Crystal system: orthorhombic

Geometry as Quantum ESPRESSO input:
```
&SYSTEM
  ibrav = 0, nat = 8, ntyp = 3
/
ATOMIC_SPECIES
Zn 65.41 Zn.upf
Ag 107.87 Ag.upf
Pr 140.91 Pr.upf
CELL_PARAMETERS angstrom
-1.7232 3.0158 1.9852
-5.9928 -2.1842 2.1474
0.4689 -1.4007 6.5661
ATOMIC_POSITIONS crystal
Zn 0.7383 0.7617 0.7617
Zn 0.2617 0.2383 0.2383
Ag 0.6448 0.1637 0.5466
Pr 0.0000 0.0000 0.0000
Ag 0.3552 0.8363 0.4534
Ag 0.0000 0.5000 0.5000
Ag 0.3552 0.4534 0.8363
Ag 0.6448 0.5466 0.1637
```



[4]
Compound: Pr2ZnAg5
Source: the Alexandria database
Functional: GGA-PBE
Structure: optimized geometry Values from VASP.

Calculated values
- Space-group type: Cmcm, No. 63
- Crystal system: orthorhombic

Geometry as Quantum ESPRESSO input:
```
&SYSTEM
  ibrav = 0, nat = 16, ntyp = 3
/
ATOMIC_SPECIES
Pr 140.91 Pr.upf
Ag 107.87 Ag.upf
Zn 65.41 Zn.upf
CELL_PARAMETERS angstrom
-0.5179 4.1981 -1.4413
-7.3235 -1.8091 4.2896
4.0341 3.3469 8.2987
ATOMIC_POSITIONS crystal
Pr 0.8039 0.6078 0.7500
Ag 0.3593 0.7187 0.9670
Zn 0.5501 0.1002 0.2500
Ag 0.3964 0.7927 0.2500
Pr 0.0000 0.0000 0.0000
Ag 0.1910 0.3820 0.8925
Pr 0.0000 0.0000 0.5000
Ag 0.8090 0.6180 0.3925
Pr 0.1961 0.3922 0.2500
Ag 0.6407 0.2813 0.0330
Ag 0.6036 0.2073 0.7500
Ag 0.3593 0.7187 0.5330
Zn 0.4499 0.8998 0.7500
Ag 0.1910 0.3820 0.6075
Ag 0.6407 0.2813 0.4670
Ag 0.8090 0.6180 0.1075
```



[5]
Compound: PrZn2Ag2
Source: the Alexandria database
Functional: GGA-PBE
Structure: optimized geometry Values from VASP.

Calculated values
- Space-group type: I4/mmm, No. 139
- Crystal system: tetragonal
- Energy relative to the lowest polymorph listed for this composition: 0.000 eV per atom

Geometry as Quantum ESPRESSO input:
```
&SYSTEM
  ibrav = 0, nat = 5, ntyp = 3
/
ATOMIC_SPECIES
Zn 65.41 Zn.upf
Ag 107.87 Ag.upf
Pr 140.91 Pr.upf
CELL_PARAMETERS angstrom
4.2879 0.0000 0.0000
0.0000 4.2879 0.0000
-2.1439 -2.1439 5.6692
ATOMIC_POSITIONS crystal
Zn 0.6094 0.6094 0.2187
Ag 0.7500 0.2500 0.5000
Ag 0.2500 0.7500 0.5000
Zn 0.3906 0.3906 0.7813
Pr 0.0000 0.0000 0.0000
```



[6]
Compound: PrZn6Ag4
Source: the Alexandria database
Functional: GGA-PBE
Structure: optimized geometry Values from VASP.

Calculated values
- Space-group type: P-6m2, No. 187
- Crystal system: hexagonal

Geometry as Quantum ESPRESSO input:
```
&SYSTEM
  ibrav = 0, nat = 11, ntyp = 3
/
ATOMIC_SPECIES
Zn 65.41 Zn.upf
Ag 107.87 Ag.upf
Pr 140.91 Pr.upf
CELL_PARAMETERS angstrom
-3.8831 -1.1063 -1.4425
-0.3583 -5.3891 5.0978
-2.5301 6.7974 1.5979
ATOMIC_POSITIONS crystal
Zn 0.0000 0.5392 0.0784
Zn 0.5000 0.2070 0.4139
Ag 0.5000 0.3995 0.1998
Zn 0.0000 0.9216 0.4608
Pr 0.0000 0.0000 0.0000
Zn 0.0000 0.5392 0.4608
Ag 0.0000 0.3333 0.6667
Zn 0.5000 0.2070 0.7930
Ag 0.5000 0.8002 0.6005
Ag 0.5000 0.8002 0.1998
Zn 0.5000 0.5861 0.7930
```



For each record above, in turn, the calculated E_form values are -0.1097; -0.2815; -0.1102; -0.1822; -0.2248; -0.1124 eV/atom.
For each record above, in turn, the calculated magnetic moment values are 0.00; 0.00; 0.00; 0.00; 0.00; 0.00 μB per cell.